Entry 1:
In2CoSb | GGA-PBE | relaxed

Geometry as CIF:
```
data_In2CoSb
_cell_length_a 5.584
_cell_length_b 5.584
_cell_length_c 5.584
_cell_angle_alpha 134.94
_cell_angle_beta 134.94
_cell_angle_gamma 65.63
_space_group_name_H-M_alt 'P 1'
_space_group_IT_number 1
_space_group_name_Hall 'P 1'
loop_
_atom_site_label
_atom_site_fract_x
_atom_site_fract_y
_atom_site_fract_z
In1 0.250 0.750 0.500
In2 0.750 0.250 0.500
Co1 0.000 0.000 0.000
Sb1 0.500 0.500 0.000
```

Results
**SG**: No. 139
**Theoretical density**: 7.9 g/cm³
**V**: 86 Å³ per cell
**Formation energy without anion corrections**: 0.432 eV/atom
**DOS(E_F)**: 4.62 states/eV/f.u.

=====

Entry 2:
Li2Tb3Hg2 | GGA-PBE | relaxed

Geometry as CIF:
```
data_Li2Tb3Hg2
_cell_length_a 10.283
_cell_length_b 10.283
_cell_length_c 10.283
_cell_angle_alpha 159.89
_cell_angle_beta 152.58
_cell_angle_gamma 34.24
_space_group_name_H-M_alt 'P 1'
_space_group_IT_number 1
_space_group_name_Hall 'P 1'
loop_
_atom_site_label
_atom_site_fract_x
_atom_site_fract_y
_atom_site_fract_z
Li1 0.067 0.067 0.000
Li2 0.933 0.933 0.000
Tb1 0.199 0.699 0.500
Tb2 0.500 0.500 0.000
Tb3 0.801 0.301 0.500
Hg1 0.363 0.863 0.500
Hg2 0.637 0.137 0.500
```

Results
**SG**: No. 71
**Theoretical density**: 8.6 g/cm³
**V**: 172 Å³ per cell
**DOS(E_F)**: 5.76 states/eV/f.u.
**Formation energy from the elements**: -0.23 eV per atom

=====

Entry 3:
Zn2CuTcO | GGA-PBE | relaxed

Geometry as CIF:
```
data_Zn2CuTcO
_cell_length_a 4.188
_cell_length_b 4.188
_cell_length_c 3.795
_cell_angle_alpha 90.00
_cell_angle_beta 90.00
_cell_angle_gamma 90.00
_space_group_name_H-M_alt 'P 1'
_space_group_IT_number 1
_space_group_name_Hall 'P 1'
loop_
_atom_site_label
_atom_site_fract_x
_atom_site_fract_y
_atom_site_fract_z
Zn1 0.000 0.500 0.000
Zn2 0.500 0.000 0.000
Cu1 0.000 0.000 0.500
Tc1 0.500 0.500 0.500
O1 0.000 0.000 0.000
```

Results
**SG**: No. 123
**Theoretical density**: 7.7 g/cm³
**V**: 67 Å³ per cell
**Formation energy without anion corrections**: 0.245 eV/atom
**DOS(E_F)**: 4.70 states/eV/f.u.

=====

Entry 4:
NdHoNi | GGA-PBE | relaxed

Geometry as CIF:
```
data_NdHoNi
_cell_length_a 3.919
_cell_length_b 3.919
_cell_length_c 6.294
_cell_angle_alpha 90.00
_cell_angle_beta 90.00
_cell_angle_gamma 120.00
_space_group_name_H-M_alt 'P 1'
_space_group_IT_number 1
_space_group_name_Hall 'P 1'
loop_
_atom_site_label
_atom_site_fract_x
_atom_site_fract_y
_atom_site_fract_z
Nd1 0.000 0.000 0.000
Ho1 0.333 0.667 0.493
Ni1 0.667 0.333 0.259
```

Results
**SG**: No. 156
**Theoretical density**: 7.3 g/cm³
**V**: 84 Å³ per cell
**Energy relative to the lowest polymorph listed for this composition**: 131.8 meV per atom
**DOS(E_F)**: 3.18 states/eV/f.u.
**Formation energy from the elements**: -0.12 eV per atom

=====

Entry 5:
Cs2In4Sn3Au | GGA-PBE | relaxed

Geometry as CIF:
```
data_Cs2In4Sn3Au
_cell_length_a 5.317
_cell_length_b 5.317
_cell_length_c 11.707
_cell_angle_alpha 90.00
_cell_angle_beta 90.00
_cell_angle_gamma 90.00
_space_group_name_H-M_alt 'P 1'
_space_group_IT_number 1
_space_group_name_Hall 'P 1'
loop_
_atom_site_label
_atom_site_fract_x
_atom_site_fract_y
_atom_site_fract_z
Cs1 0.000 0.500 0.245
Cs2 0.500 0.000 0.755
In1 0.000 0.000 0.500
In2 0.000 0.500 0.889
In3 0.500 0.000 0.111
In4 0.500 0.500 0.500
Sn1 0.000 0.000 0.000
Sn2 0.000 0.500 0.631
Sn3 0.500 0.000 0.369
Au1 0.500 0.500 0.000
```

Results
**SG**: No. 115
**Theoretical density**: 6.4 g/cm³
**V**: 331 Å³ per cell
**DOS(E_F)**: 3.40 states/eV/f.u.
**Formation energy from the elements**: -0.18 eV per atom

=====

Entry 6:
PrDy6Y3 | GGA-PBE | relaxed

Geometry as CIF:
```
data_PrDy6Y3
_cell_length_a 6.904
_cell_length_b 6.904
_cell_length_c 6.904
_cell_angle_alpha 91.20
_cell_angle_beta 91.20
_cell_angle_gamma 91.20
_space_group_name_H-M_alt 'P 1'
_space_group_IT_number 1
_space_group_name_Hall 'P 1'
loop_
_atom_site_label
_atom_site_fract_x
_atom_site_fract_y
_atom_site_fract_z
Pr1 0.000 0.000 0.000
Dy1 0.169 0.829 0.498
Dy2 0.329 0.669 0.998
Dy3 0.498 0.169 0.829
Dy4 0.669 0.998 0.329
Dy5 0.829 0.498 0.169
Dy6 0.998 0.329 0.669
Y1 0.255 0.255 0.255
Y2 0.501 0.501 0.501
Y3 0.748 0.748 0.748
```

Results
**SG**: No. 146
**Theoretical density**: 7.0 g/cm³
**V**: 329 Å³ per cell
**Energy relative to the lowest polymorph listed for this composition**: 142.3 meV per atom
**DOS(E_F)**: 21.08 states/eV/f.u.
**Formation energy from the elements**: 0.29 eV per atom